MgMo3W: relaxed, PBE.

a = 4.4845 Å, b = 4.4845 Å, c = 4.4845 Å
α = 90.00°, β = 90.00°, γ = 90.00°
Fractional coordinates of all 5 atoms:
Mo  0.0000  0.0000  0.5000
Mo  0.5000  0.0000  0.0000
Mo  0.0000  0.5000  0.0000
W  0.5000  0.5000  0.5000
Mg  0.0000  0.0000  0.0000

Properties
total energy: -0.5280 Ry/atom
formation energy: 2225 meV per atom
M_tot: 0.0 μB/f.u.
excess energy over the best structure of this formula in the dataset: 649.5 meV per atom
SG: Pm-3m (221)